(1)
Computed, not measured: Er4Co2Bi after structural relaxation at the GGA-PBE level of DFT.

Cell and atoms, written as POSCAR:
```
Er4Co2Bi
1.0
0.000 6.392 6.415
4.538 0.000 6.415
4.538 6.392 0.000
Er Co Bi
8 4 2
direct
0.153 0.275 0.277 Er
0.205 0.723 0.725 Er
0.275 0.153 0.795 Er
0.277 0.795 0.153 Er
0.723 0.205 0.847 Er
0.725 0.847 0.205 Er
0.795 0.277 0.275 Er
0.847 0.725 0.723 Er
0.000 0.000 0.000 Co
0.000 0.000 0.500 Co
0.000 0.500 0.000 Co
0.500 0.000 0.000 Co
0.375 0.375 0.375 Bi
0.625 0.625 0.625 Bi
```

Calculated values
- calculated volume (A^3/atom) = 26.581
- formation enthalpy at 0 K (meV/atom) = -143
- space group = Fddd

=====

(2)
Computed, not measured: Mg2MnOs after structural relaxation at the GGA-PBE level of DFT.

Cell and atoms, written as POSCAR:
```
Mg2MnOs
1.0
9.316 0.000 0.000
0.000 2.784 0.000
-0.687 0.000 4.878
Mg Mn Os
4 2 2
direct
0.247 0.000 0.244 Mg
0.253 0.500 0.756 Mg
0.747 0.500 0.244 Mg
0.753 0.000 0.756 Mg
0.000 0.000 0.500 Mn
0.500 0.500 0.500 Mn
0.000 0.500 0.000 Os
0.500 0.000 0.000 Os
```

Calculated values
- calculated volume (A^3/atom) = 15.813
- formation enthalpy at 0 K (meV/atom) = 275
- space group = C2/m

=====

(3)
Computed, not measured: NaLa2USe6 after structural relaxation at the GGA-PBE level of DFT.

Cell and atoms, written as POSCAR:
```
NaLa2USe6
1.0
3.736 2.157 6.536
-3.736 2.157 6.536
0.000 -4.313 6.536
Na La U Se
1 2 1 6
direct
0.000 0.000 0.000 Na
0.204 0.204 0.204 La
0.716 0.716 0.716 La
0.514 0.514 0.514 U
0.148 0.398 0.772 Se
0.317 0.889 0.604 Se
0.398 0.772 0.148 Se
0.604 0.317 0.889 Se
0.772 0.148 0.398 Se
0.889 0.604 0.317 Se
```

Calculated values
- calculated volume (A^3/atom) = 31.596
- space group = R3
- E_form (uncorrected) (eV/atom) = -1.539

=====

(4)
Computed, not measured: Mg2MnSe after structural relaxation at the GGA-PBE level of DFT.

Cell and atoms, written as POSCAR:
```
Mg2MnSe
1.0
3.586 0.000 0.000
0.000 3.586 0.000
0.000 0.000 5.768
Mg Mn Se
2 1 1
direct
0.000 0.000 0.000 Mg
0.500 0.500 0.290 Mg
0.000 0.000 0.508 Mn
0.500 0.500 0.761 Se
```

Calculated values
- calculated volume (A^3/atom) = 18.540
- space group = P4mm
- E_form (uncorrected) (eV/atom) = -0.121